Record 1
Sm5Tl2Pd: relaxed, PBE.

Computed properties:
mass density	8.97	g cm⁻³
offset from the most stable computed form	0	meV/atom
energy of formation	-397	meV/atom

```
16
Lattice="4.918 0.000 0.000 0.000 7.485 0.000 0.000 0.000 12.747" Properties=species:S:1:pos:R:3 pbc="T T T"
Sm 0.000 4.703 9.096
Sm 2.459 6.136 11.708
Sm 0.000 0.961 10.025
Sm 2.459 5.092 5.334
Tl 2.459 0.733 4.303
Sm 0.000 2.782 3.651
Tl 2.459 4.476 2.070
Sm 0.000 3.743 0.000
Tl 2.459 3.009 10.677
Pd 0.000 3.743 6.374
Sm 2.459 1.349 1.039
Sm 2.459 2.393 7.413
Pd 0.000 0.000 0.000
Sm 0.000 0.000 6.374
Tl 2.459 6.752 8.444
Sm 0.000 6.524 2.723
```



Record 2
Er2Hg2Ru: relaxed, PBE.

Computed properties:
mass density	12.38	g cm⁻³
energy of formation	-426	meV/atom

```
5
Lattice="-0.786 -1.783 -2.814 1.528 -2.762 1.324 -8.655 -0.393 4.749" Properties=species:S:1:pos:R:3 pbc="T T T"
Ru 0.000 0.000 0.000
Er -6.863 -2.209 3.317
Hg -4.637 -3.884 1.675
Hg -3.276 -1.054 1.583
Er -1.049 -2.730 -0.059
```



Record 3
Li2CdPd2: relaxed, PBE.

Computed properties:
mass density	7.21	g cm⁻³
offset from the most stable computed form	34	meV/atom
energy of formation	-365	meV/atom

```
10
Lattice="-4.225 -1.947 5.614 5.329 -4.290 2.523 1.059 2.242 1.575" Properties=species:S:1:pos:R:3 pbc="T T T"
Li -1.206 -1.981 6.372
Pd -0.247 -4.414 6.451
Cd 0.552 -3.118 4.069
Li -0.067 -0.224 3.104
Li 3.369 -2.014 3.340
Pd 1.351 -1.823 1.687
Pd 3.064 -4.406 4.211
Cd 0.000 0.000 0.000
Pd -1.961 -1.831 3.926
Li 2.230 -3.771 6.608
```



Record 4
Tm3SiNi: relaxed, PBE.

Computed properties:
mass density	8.75	g cm⁻³
uncorrected formation energy	-0.473	eV per atom

```
10
Lattice="4.171 -0.002 0.000 -2.088 6.783 0.335 0.000 0.100 7.973" Properties=species:S:1:pos:R:3 pbc="T T T"
Si -0.071 6.149 2.495
Tm -0.070 1.254 3.313
Tm -0.071 3.721 0.372
Tm 2.015 6.615 0.436
Tm -0.070 5.875 5.459
Ni -0.069 3.333 5.190
Si 2.015 1.719 1.253
Tm 2.016 4.147 3.376
Ni 2.014 4.636 6.532
Tm 2.015 2.094 6.262
```



Please write out number 4 again, unchanged.
Tm3SiNi: relaxed, PBE.

Computed properties:
mass density	8.75	g cm⁻³
uncorrected formation energy	-0.473	eV per atom

```
10
Lattice="4.171 -0.002 0.000 -2.088 6.783 0.335 0.000 0.100 7.973" Properties=species:S:1:pos:R:3 pbc="T T T"
Si -0.071 6.149 2.495
Tm -0.070 1.254 3.313
Tm -0.071 3.721 0.372
Tm 2.015 6.615 0.436
Tm -0.070 5.875 5.459
Ni -0.069 3.333 5.190
Si 2.015 1.719 1.253
Tm 2.016 4.147 3.376
Ni 2.014 4.636 6.532
Tm 2.015 2.094 6.262
```